DFT (PBE-GGA) results for a geometry-optimized Tm3Lu3Sb2Ir structure.

a b c (Å): 8.0943 8.0943 4.1014
angles (deg): 90.00 90.00 120.00
Last column: nearest neighbours and their distance in Å.
Sites, in units of the cell vectors:
Ir 0.0000 0.0000 0.0000  6 Tm 2.83, 3 Lu 3.15
Lu 0.6105 0.0000 0.0000  1 Ir 3.15, 4 Sb 3.24, 4 Tm 3.43
Lu 0.3895 0.3895 0.0000  1 Ir 3.15, 4 Sb 3.24, 4 Tm 3.43
Lu 0.0000 0.6105 0.0000  1 Ir 3.15, 4 Sb 3.24, 4 Tm 3.43
Sb 0.6667 0.3333 0.5000  3 Tm 3.14, 6 Lu 3.24
Sb 0.3333 0.6667 0.5000  3 Tm 3.14, 6 Lu 3.24
Tm 0.2408 0.0000 0.5000  2 Ir 2.83, 2 Sb 3.14
Tm 0.0000 0.2408 0.5000  2 Ir 2.83, 2 Sb 3.14
Tm 0.7592 0.7592 0.5000  2 Ir 2.83, 2 Sb 3.14

Energy relative to the lowest polymorph listed for this composition   0.034 eV/atom
Space group   P-62m (189)

---

DFT (PBE-GGA) results for a geometry-optimized Lu2ScIr structure.

a b c (Å): 4.9250 4.9250 4.9250
angles (deg): 60.00 60.00 60.00
Last column: nearest neighbours and their distance in Å.
Sites, in units of the cell vectors:
Ir 0.2500 0.2500 0.2500  4 Sc 3.02, 4 Lu 3.02
Lu 0.0000 0.0000 0.0000  4 Lu 3.02, 4 Ir 3.02
Lu 0.7500 0.7500 0.7500  4 Sc 3.02, 4 Lu 3.02
Sc 0.5000 0.5000 0.5000  4 Ir 3.02, 4 Lu 3.02

DFT formation energy   -0.2659 eV per atom
Space group   F-43m (216)

---

DFT (PBE-GGA) results for a geometry-optimized LuScIr structure.

a b c (Å): 4.5154 4.5154 4.5154
angles (deg): 60.00 60.00 60.00
Last column: nearest neighbours and their distance in Å.
Sites, in units of the cell vectors:
Ir 0.2500 0.2500 0.2500  4 Sc 2.77
Lu 0.7500 0.7500 0.7500  4 Sc 2.77
Sc 0.0000 0.0000 0.0000  4 Lu 2.77, 4 Ir 2.77

DFT formation energy   0.0208 eV per atom
Space group   F-43m (216)

---

Asked for E across the records above, the calculation gives -51.03 -25.29 -19.64 eV/cell in order.